1.
A plane-wave DFT calculation with GGA-PBE was carried out for crystalline NdBr2Cl at its relaxed geometry.

Energy (eV per formula unit): -18.0
Spin magnetization (μB per formula unit): 0.0
SG: P2_1/m, No. 11

CIF file:
```
data_NdBr2Cl
_symmetry_space_group_name_H-M 'P 1'
_symmetry_Int_Tables_number 1
_cell_length_a 7.6836
_cell_length_b 4.3364
_cell_length_c 7.8536
_cell_angle_alpha 90.00
_cell_angle_beta 117.17
_cell_angle_gamma 90.00
loop_
_symmetry_equiv_pos_as_xyz
'x,y,z'
loop_
_atom_site_label
_atom_site_fract_x
_atom_site_fract_y
_atom_site_fract_z
Nd1 0.1617 0.2500 0.3333
Nd2 0.8383 0.7500 0.6667
Br1 0.1219 0.2500 0.9103
Br2 0.4219 0.7500 0.2967
Br3 0.5781 0.2500 0.7033
Br4 0.8781 0.7500 0.0897
Cl1 0.1818 0.7500 0.5867
Cl2 0.8182 0.2500 0.4133
```

---

2.
A plane-wave DFT calculation with GGA-PBE was carried out for crystalline NdHo2Ga2 at its relaxed geometry.

Energy (eV per formula unit): -22.3
Spin magnetization (μB per formula unit): 0.0
SG: P4/mbm, No. 127

CIF file:
```
data_NdHo2Ga2
_symmetry_space_group_name_H-M 'P 1'
_symmetry_Int_Tables_number 1
_cell_length_a 7.6822
_cell_length_b 7.6822
_cell_length_c 4.3621
_cell_angle_alpha 90.00
_cell_angle_beta 90.00
_cell_angle_gamma 90.00
loop_
_symmetry_equiv_pos_as_xyz
'x,y,z'
loop_
_atom_site_label
_atom_site_fract_x
_atom_site_fract_y
_atom_site_fract_z
Nd1 0.0000 0.0000 0.0000
Nd2 0.5000 0.5000 0.0000
Ho1 0.1740 0.3260 0.5000
Ho2 0.3260 0.8260 0.5000
Ho3 0.6740 0.1740 0.5000
Ho4 0.8260 0.6740 0.5000
Ga1 0.1183 0.6183 0.0000
Ga2 0.3817 0.1183 0.0000
Ga3 0.6183 0.8817 0.0000
Ga4 0.8817 0.3817 0.0000
```

---

3.
A plane-wave DFT calculation with GGA-PBE was carried out for crystalline TcSbAsO at its relaxed geometry.

Energy (eV per formula unit): -24.8
Spin magnetization (μB per formula unit): 0.0
SG: Pmc2_1, No. 26

CIF file:
```
data_TcSbAsO
_symmetry_space_group_name_H-M 'P 1'
_symmetry_Int_Tables_number 1
_cell_length_a 3.0906
_cell_length_b 6.3990
_cell_length_c 7.2349
_cell_angle_alpha 90.00
_cell_angle_beta 90.00
_cell_angle_gamma 90.00
loop_
_symmetry_equiv_pos_as_xyz
'x,y,z'
loop_
_atom_site_label
_atom_site_fract_x
_atom_site_fract_y
_atom_site_fract_z
Tc1 0.0000 0.2116 0.0000
Tc2 0.0000 0.7884 0.5000
Sb1 0.5000 0.4343 0.5365
Sb2 0.5000 0.5657 0.0365
As1 0.0000 0.1105 0.3216
As2 0.0000 0.8895 0.8216
O1 0.5000 0.3104 0.8116
O2 0.5000 0.6896 0.3116
```